1.
{"formula": "LaPmPr4Dy2", "functional": "PBE", "state": "relaxed", "e_form_ev_per_atom": 0.0178, "sg": "P2/m (10)", "lattice": [[6.3536, 0.0000, 0.0000], [0.0000, 3.6827, 0.0000], [-2.1511, 0.0000, 11.9401]], "species": ["La", "Pm", "Pr", "Pr", "Pr", "Pr", "Dy", "Dy"], "frac_coords": [[0.0000, 0.0000, 0.0000], [0.5000, 0.5000, 0.0000], [0.2488, 0.0000, 0.7458], [0.2518, 0.5000, 0.2554], [0.7482, 0.5000, 0.7446], [0.7512, 0.0000, 0.2542], [0.0000, 0.5000, 0.5000], [0.5000, 0.0000, 0.5000]]}

2.
{"formula": "CuAg5F8", "functional": "PBE", "state": "relaxed", "e_form_raw_ev_per_atom": -1.117, "de_polymorph_mev_per_atom": 0, "sg": "I-4 (82)", "lattice": [[-3.4624, 3.4624, 4.1525], [3.4624, -3.4624, 4.1525], [3.4624, 3.4624, -4.1525]], "species": ["Cu", "Ag", "Ag", "Ag", "Ag", "Ag", "F", "F", "F", "F", "F", "F", "F", "F"], "frac_coords": [[0.0000, 0.0000, 0.0000], [0.1096, 0.3057, 0.6755], [0.2500, 0.7500, 0.5000], [0.5659, 0.8904, 0.1961], [0.6302, 0.4341, 0.3245], [0.6943, 0.3698, 0.8039], [0.2522, 0.5037, 0.1363], [0.3099, 0.0658, 0.3046], [0.3674, 0.1159, 0.8637], [0.4963, 0.6326, 0.7485], [0.7612, 0.0053, 0.6954], [0.8841, 0.7478, 0.2515], [0.9342, 0.2388, 0.2441], [0.9947, 0.6901, 0.7559]]}

3.
{"formula": "Pr2Pd2Au15", "functional": "PBE", "state": "relaxed", "e_form_ev_per_atom": -0.2858, "sg": "R-3m (166)", "lattice": [[4.7920, 2.7667, 4.7677], [-4.7920, 2.7667, 4.7677], [0.0000, -5.5333, 4.7677]], "species": ["Pr", "Pr", "Pd", "Pd", "Au", "Au", "Au", "Au", "Au", "Au", "Au", "Au", "Au", "Au", "Au", "Au", "Au", "Au", "Au"], "frac_coords": [[0.1803, 0.1803, 0.1803], [0.8197, 0.8197, 0.8197], [0.3985, 0.3985, 0.3985], [0.6015, 0.6015, 0.6015], [0.0000, 0.5000, 0.5000], [0.1405, 0.1405, 0.6552], [0.1405, 0.6552, 0.1405], [0.2025, 0.5000, 0.7975], [0.2025, 0.7975, 0.5000], [0.3448, 0.8595, 0.8595], [0.5000, 0.0000, 0.5000], [0.5000, 0.2025, 0.7975], [0.5000, 0.5000, 0.0000], [0.5000, 0.7975, 0.2025], [0.6552, 0.1405, 0.1405], [0.7975, 0.2025, 0.5000], [0.7975, 0.5000, 0.2025], [0.8595, 0.3448, 0.8595], [0.8595, 0.8595, 0.3448]]}

4.
{"formula": "Ca2Ga4GePd3", "functional": "PBE", "state": "relaxed", "e_form_ev_per_atom": -0.6423, "sg": "P-4m2 (115)", "lattice": [[4.2000, 0.0000, 0.0000], [0.0000, 4.2000, 0.0000], [0.0000, 0.0000, 11.0526]], "species": ["Ca", "Ca", "Ga", "Ga", "Ga", "Ga", "Ge", "Pd", "Pd", "Pd"], "frac_coords": [[0.0000, 0.5000, 0.2476], [0.5000, 0.0000, 0.7524], [0.0000, 0.0000, 0.0000], [0.0000, 0.5000, 0.6403], [0.5000, 0.0000, 0.3597], [0.5000, 0.5000, 0.0000], [0.0000, 0.0000, 0.5000], [0.0000, 0.5000, 0.8661], [0.5000, 0.0000, 0.1339], [0.5000, 0.5000, 0.5000]]}

5.
{"formula": "Er5Tl2Bi", "functional": "PBE", "state": "relaxed", "e_form_ev_per_atom": -0.3910, "sg": "I4/mcm (140)", "lattice": [[-4.1958, 4.1958, 6.4899], [4.1958, -4.1958, 6.4899], [4.1958, 4.1958, -6.4899]], "species": ["Er", "Er", "Er", "Er", "Er", "Er", "Er", "Er", "Er", "Er", "Tl", "Tl", "Tl", "Tl", "Bi", "Bi"], "frac_coords": [[0.0000, 0.0000, 0.0000], [0.9999, 0.4999, 0.1999], [0.0001, 0.5001, 0.8001], [0.2001, 0.0001, 0.5000], [0.2999, 0.7999, 0.8001], [0.4999, 0.2999, 0.5000], [0.5000, 0.5000, 0.0000], [0.5001, 0.7001, 0.5000], [0.7001, 0.2001, 0.1999], [0.7999, 0.9999, 0.5000], [0.1508, 0.3492, 0.5000], [0.3492, 0.8492, 0.1984], [0.6508, 0.1508, 0.8016], [0.8492, 0.6508, 0.5000], [0.2500, 0.2500, 0.0000], [0.7500, 0.7500, 0.0000]]}

6.
{"formula": "Ta2BeFeH", "functional": "PBE", "state": "relaxed", "dft_energy_ev_per_atom": -7.8565, "sg": "P4/mmm (123)", "lattice": [[4.0718, 0.0000, 0.0000], [0.0000, 4.0718, 0.0000], [0.0000, 0.0000, 3.5397]], "species": ["Ta", "Ta", "Be", "Fe", "H"], "frac_coords": [[0.0000, 0.5000, 0.0000], [0.5000, 0.0000, 0.0000], [0.0000, 0.0000, 0.5000], [0.5000, 0.5000, 0.5000], [0.5000, 0.5000, 0.0000]]}

7.
{"formula": "LiAlPd3", "functional": "PBE", "state": "relaxed", "e_form_ev_per_atom": -0.0740, "de_polymorph_mev_per_atom": 469, "sg": "Pm-3m (221)", "lattice": [[4.5967, 0.0000, 0.0000], [0.0000, 4.5967, 0.0000], [0.0000, 0.0000, 4.5967]], "species": ["Li", "Al", "Pd", "Pd", "Pd"], "frac_coords": [[0.0000, 0.0000, 0.0000], [0.5000, 0.5000, 0.5000], [0.0000, 0.5000, 0.5000], [0.5000, 0.0000, 0.5000], [0.5000, 0.5000, 0.0000]]}

8.
{"formula": "Na2ScPaSe4", "functional": "PBE", "state": "relaxed", "e_form_raw_ev_per_atom": -1.411, "sg": "P2/m (10)", "lattice": [[6.9854, 0.0000, 0.0000], [0.0000, 4.0051, 0.0000], [-2.2811, 0.0000, 7.1070]], "species": ["Na", "Na", "Sc", "Pa", "Se", "Se", "Se", "Se"], "frac_coords": [[0.0000, 0.0000, 0.0000], [0.5000, 0.5000, 0.0000], [0.0000, 0.5000, 0.5000], [0.5000, 0.0000, 0.5000], [0.2318, 0.0000, 0.7235], [0.2438, 0.5000, 0.2658], [0.7562, 0.5000, 0.7342], [0.7682, 0.0000, 0.2765]]}

Quick rundown of size of the total moment, same order as above: 0.0, 1.9, 0.0, 0.0, 0.0, 1.2, 0.0, 2.0 μB per formula unit